The following is a GGA-PBE calculation of Mn2SiOs after structural relaxation, from Alexandria.

Cell: 2.7278 2.7278 6.3385 Å, 90.00 90.00 90.00°
Last column: nearest neighbours and their distance in Å.
Space group P4/mmm (No. 123)
One atom of each set of equivalent atoms:
Mn (0.0000, 0.0000, 0.2266) (multiplicity 2)  4 Si 2.40, 4 Os 2.59
Si (0.5000, 0.5000, 0.0000) (multiplicity 1)  8 Mn 2.40
Os (0.5000, 0.5000, 0.5000) (multiplicity 1)  8 Mn 2.59, 4 Os 2.73

=====

The following is a GGA-PBE calculation of MnSi2Os after structural relaxation, from Alexandria.

Cell: 2.9642 4.5302 8.0174 Å, 90.00 90.00 90.00°
Last column: nearest neighbours and their distance in Å.
Space group Cmm2 (No. 35)
One atom of each set of equivalent atoms:
Mn (0.0000, 0.0000, 0.0000) (multiplicity 2)  2 Si 2.35, 2 Os 2.59
Si (0.0000, 0.0000, 0.5096) (multiplicity 2)  2 Os 2.46, 6 Si 2.57-2.71
Si (0.0000, 0.5000, 0.7722) (multiplicity 2)  2 Mn 2.35, 2 Si 2.57
Os (0.0000, 0.5000, 0.2642) (multiplicity 2)  2 Si 2.46, 2 Mn 2.59, 4 Os 2.71

=====

The following is a GGA-PBE calculation of MnSiOs3 after structural relaxation, from Alexandria.

Cell: 4.4088 4.4088 4.4088 Å, 90.00 90.00 90.00°
Last column: nearest neighbours and their distance in Å.
Space group Pm-3m (No. 221)
One atom of each set of equivalent atoms:
Mn (0.0000, 0.0000, 0.0000) (multiplicity 1)  6 Os 2.20
Si (0.5000, 0.5000, 0.5000) (multiplicity 1)  12 Os 3.12
Os (0.0000, 0.0000, 0.5000) (multiplicity 3)  2 Mn 2.20

Summary:
Energy above the lowest structure with this stoichiometry ... 308 meV per atom

=====

The following is a GGA-PBE calculation of MnSi2Os after structural relaxation, from Alexandria.

Cell: 7.8808 2.7977 4.7097 Å, 90.00 100.91 90.00°
Last column: nearest neighbours and their distance in Å.
Space group C2/m (No. 12)
One atom of each set of equivalent atoms:
Mn (0.0000, 0.0000, 0.0000) (multiplicity 2)  6 Si 2.45-2.51, 4 Os 2.74
Si (0.2497, 0.0000, 0.7588) (multiplicity 4)  3 Mn 2.45-2.51, 3 Os 2.51-2.53, 2 Si 2.67
Os (0.0000, 0.5000, 0.5000) (multiplicity 2)  6 Si 2.51-2.53, 4 Mn 2.74, 2 Os 2.80

=====

The following is a GGA-PBE calculation of MnSiOs3 after structural relaxation, from Alexandria.

Cell: 4.3281 4.3281 4.3281 Å, 90.00 90.00 90.00°
Last column: nearest neighbours and their distance in Å.
Space group Pm-3m (No. 221)
One atom of each set of equivalent atoms:
Mn (0.0000, 0.0000, 0.0000) (multiplicity 1)  12 Os 3.06
Si (0.5000, 0.5000, 0.5000) (multiplicity 1)  6 Os 2.16
Os (0.0000, 0.5000, 0.5000) (multiplicity 3)  2 Si 2.16

Summary:
Energy above the lowest structure with this stoichiometry ... 0 meV per atom

=====

The following is a GGA-PBE calculation of Mn2SiOs after structural relaxation, from Alexandria.

Cell: 2.9111 2.9111 5.7748 Å, 90.00 90.00 90.00°
Last column: nearest neighbours and their distance in Å.
Space group P4mm (No. 99)
One atom of each set of equivalent atoms:
Mn (0.0000, 0.0000, 0.0000) (multiplicity 1)  4 Si 2.46, 4 Mn 2.47
Mn (0.5000, 0.5000, 0.2372) (multiplicity 1)  4 Mn 2.47, 4 Os 2.61, 1 Si 2.71
Si (0.5000, 0.5000, 0.7677) (multiplicity 1)  5 Mn 2.46-2.71, 4 Os 2.52
Os (0.0000, 0.0000, 0.5160) (multiplicity 1)  4 Si 2.52, 5 Mn 2.61-2.80

=====

The following is a GGA-PBE calculation of MnSi2Os after structural relaxation, from Alexandria.

Cell: 3.0425 3.0425 5.3961 Å, 90.00 90.00 90.00°
Last column: nearest neighbours and their distance in Å.
Space group P4mm (No. 99)
One atom of each set of equivalent atoms:
Mn (0.0000, 0.0000, 0.0000) (multiplicity 1)  5 Si 2.35-2.38
Si (0.0000, 0.0000, 0.5595) (multiplicity 1)  1 Mn 2.38, 4 Os 2.44, 4 Si 2.59
Si (0.5000, 0.5000, 0.8265) (multiplicity 1)  4 Mn 2.35, 4 Si 2.59, 1 Os 2.60
Os (0.5000, 0.5000, 0.3456) (multiplicity 1)  5 Si 2.44-2.60

=====

The following is a GGA-PBE calculation of MnSi2Os after structural relaxation, from Alexandria.

Cell: 8.5654 2.8754 4.2593 Å, 90.00 107.00 90.00°
Last column: nearest neighbours and their distance in Å.
Space group Cm (No. 8)
One atom of each set of equivalent atoms:
Mn (0.0000, 0.0000, 0.0000) (multiplicity 2)  7 Si 2.40-2.65
Si (0.2428, 0.5000, 0.1209) (multiplicity 2)  3 Mn 2.40-2.46, 4 Os 2.56-2.58, 2 Si 2.66
Si (0.4938, 0.0000, 0.4740) (multiplicity 2)  3 Os 2.43-2.47, 4 Mn 2.49-2.65, 2 Si 2.66
Os (0.2383, 0.0000, 0.6142) (multiplicity 2)  7 Si 2.43-2.58

=====

The following is a GGA-PBE calculation of Mn4SiOs after structural relaxation, from Alexandria.

Cell: 2.9395 12.2476 3.9922 Å, 90.00 90.00 90.00°
Last column: nearest neighbours and their distance in Å.
Space group Cmmm (No. 65)
One atom of each set of equivalent atoms:
Mn (0.0000, 0.1697, 0.0000) (multiplicity 4)  6 Mn 2.46-2.48, 2 Os 2.55
Mn (0.0000, 0.3291, 0.5000) (multiplicity 4)  6 Mn 2.43-2.48, 2 Si 2.56
Si (0.0000, 0.0000, 0.5000) (multiplicity 2)  4 Os 2.48, 4 Mn 2.56
Os (0.0000, 0.5000, 0.0000) (multiplicity 2)  4 Si 2.48, 4 Mn 2.55

Summary:
Energy above the lowest structure with this stoichiometry ... 0 meV per atom

=====

The following is a GGA-PBE calculation of MnSi2Os after structural relaxation, from Alexandria.

Cell: 5.9831 5.9831 5.9831 Å, 90.00 90.00 90.00°
Last column: nearest neighbours and their distance in Å.
Space group F-43m (No. 216)
One atom of each set of equivalent atoms:
Mn (0.0000, 0.0000, 0.0000) (multiplicity 4)  4 Os 2.59, 4 Si 2.59
Si (0.0000, 0.0000, 0.5000) (multiplicity 4)  4 Os 2.59, 4 Si 2.59
Si (0.2500, 0.2500, 0.7500) (multiplicity 4)  4 Mn 2.59, 4 Si 2.59
Os (0.2500, 0.2500, 0.2500) (multiplicity 4)  4 Mn 2.59, 4 Si 2.59

=====

The following is a GGA-PBE calculation of MnSi2Os after structural relaxation, from Alexandria.

Cell: 3.7318 3.7318 16.5966 Å, 90.00 90.00 90.00°
Last column: nearest neighbours and their distance in Å.
Space group I-42d (No. 122)
One atom of each set of equivalent atoms:
Mn (0.0000, 0.0000, 0.0000) (multiplicity 4)  4 Si 2.44, 4 Os 2.64
Si (0.2374, 0.2500, 0.1250) (multiplicity 8)  2 Mn 2.44, 2 Os 2.48, 4 Si 2.57-2.71
Os (0.0000, 0.0000, 0.5000) (multiplicity 4)  4 Si 2.48, 4 Mn 2.64

=====

The following is a GGA-PBE calculation of MnSi4Os after structural relaxation, from Alexandria.

Cell: 6.8246 6.8246 6.8246 Å, 90.00 90.00 90.00°
Last column: nearest neighbours and their distance in Å.
Space group F-43m (No. 216)
One atom of each set of equivalent atoms:
Mn (0.0000, 0.0000, 0.0000) (multiplicity 4)  12 Si 2.83, 4 Os 2.96
Si (0.1252, 0.1252, 0.3748) (multiplicity 16)  6 Si 2.41-2.42
Os (0.2500, 0.2500, 0.7500) (multiplicity 4)  12 Si 2.83, 4 Mn 2.96

=====

The following is a GGA-PBE calculation of Mn2SiOs after structural relaxation, from Alexandria.

Cell: 5.8078 5.8078 5.8078 Å, 90.00 90.00 90.00°
Last column: nearest neighbours and their distance in Å.
Space group F-43m (No. 216)
One atom of each set of equivalent atoms:
Mn (0.0000, 0.0000, 0.0000) (multiplicity 4)  4 Mn 2.51, 4 Os 2.51
Mn (0.2500, 0.2500, 0.2500) (multiplicity 4)  4 Mn 2.51, 4 Si 2.51
Si (0.0000, 0.0000, 0.5000) (multiplicity 4)  4 Mn 2.51, 4 Os 2.51
Os (0.2500, 0.2500, 0.7500) (multiplicity 4)  4 Mn 2.51, 4 Si 2.51

=====

The following is a GGA-PBE calculation of MnSi2Os after structural relaxation, from Alexandria.

Cell: 2.9621 3.5640 10.1471 Å, 90.00 90.00 90.00°
Last column: nearest neighbours and their distance in Å.
Space group Imm2 (No. 44)
One atom of each set of equivalent atoms:
Mn (0.0000, 0.0000, 0.0000) (multiplicity 2)  6 Si 2.36-2.41
Si (0.0000, 0.0000, 0.5645) (multiplicity 2)  4 Mn 2.41, 2 Os 2.49
Si (0.0000, 0.5000, 0.3187) (multiplicity 2)  2 Mn 2.36, 4 Os 2.47
Os (0.0000, 0.5000, 0.7353) (multiplicity 2)  6 Si 2.47-2.49

=====

The following is a GGA-PBE calculation of MnSiOs4 after structural relaxation, from Alexandria.

Cell: 7.2610 7.2610 7.2610 Å, 90.00 90.00 90.00°
Last column: nearest neighbours and their distance in Å.
Space group F-43m (No. 216)
One atom of each set of equivalent atoms:
Mn (0.0000, 0.0000, 0.0000) (multiplicity 4)  12 Os 3.01, 4 Si 3.14
Si (0.2500, 0.2500, 0.7500) (multiplicity 4)  12 Os 3.01, 4 Mn 3.14
Os (0.1250, 0.1250, 0.3750) (multiplicity 16)  6 Os 2.57

=====

The following is a GGA-PBE calculation of Mn2SiOs after structural relaxation, from Alexandria.

Cell: 5.0935 7.4232 2.6616 Å, 90.00 90.00 90.00°
Last column: nearest neighbours and their distance in Å.
Space group Cmmm (No. 65)
One atom of each set of equivalent atoms:
Mn (0.2500, 0.2500, 0.0000) (multiplicity 4)  4 Mn 2.55-2.66, 4 Os 2.61, 4 Si 2.61
Si (0.0000, 0.0000, 0.5000) (multiplicity 2)  2 Os 2.55, 8 Mn 2.61, 2 Si 2.66
Os (0.0000, 0.5000, 0.5000) (multiplicity 2)  2 Si 2.55, 8 Mn 2.61, 2 Os 2.66

=====

The following is a GGA-PBE calculation of MnSi2Os after structural relaxation, from Alexandria.

Cell: 2.8175 4.2518 4.1852 Å, 90.00 90.00 90.00°
Last column: nearest neighbours and their distance in Å.
Space group Pmm2 (No. 25)
One atom of each set of equivalent atoms:
Mn (0.0000, 0.0000, 0.0000) (multiplicity 1)  6 Si 2.43-2.62, 4 Os 2.71
Si (0.0000, 0.5000, 0.2905) (multiplicity 1)  2 Mn 2.45, 4 Os 2.49-2.56, 4 Si 2.66
Si (0.5000, 0.0000, 0.4721) (multiplicity 1)  4 Mn 2.43-2.62, 2 Os 2.49, 4 Si 2.66
Os (0.5000, 0.5000, 0.7807) (multiplicity 1)  6 Si 2.49-2.56, 4 Mn 2.71

=====

The following is a GGA-PBE calculation of MnSi2Os after structural relaxation, from Alexandria.

Cell: 2.9605 4.6936 7.5598 Å, 90.00 90.00 90.00°
Last column: nearest neighbours and their distance in Å.
Space group Cmmm (No. 65)
One atom of each set of equivalent atoms:
Mn (0.0000, 0.0000, 0.0000) (multiplicity 2)  4 Si 2.34
Si (0.0000, 0.5000, 0.2397) (multiplicity 4)  2 Mn 2.34, 2 Os 2.46
Os (0.0000, 0.0000, 0.5000) (multiplicity 2)  4 Si 2.46

=====

The following is a GGA-PBE calculation of Mn2SiOs after structural relaxation, from Alexandria.

Cell: 3.6287 3.6287 7.5265 Å, 90.00 90.00 90.00°
Last column: nearest neighbours and their distance in Å.
Space group I4/mmm (No. 139)
One atom of each set of equivalent atoms:
Mn (0.0000, 0.5000, 0.2500) (multiplicity 4)  4 Mn 2.57, 4 Os 2.61, 4 Si 2.61
Si (0.0000, 0.0000, 0.0000) (multiplicity 2)  4 Os 2.57, 8 Mn 2.61
Os (0.0000, 0.0000, 0.5000) (multiplicity 2)  4 Si 2.57, 8 Mn 2.61

=====

The following is a GGA-PBE calculation of Mn2SiOs after structural relaxation, from Alexandria.

Cell: 3.9405 3.9405 12.0324 Å, 90.00 90.00 120.00°
Last column: nearest neighbours and their distance in Å.
Space group R3m (No. 160, hexagonal axes)
One atom of each set of equivalent atoms:
Mn (0.0000, 0.0000, 0.0000) (multiplicity 3)  1 Mn 2.32, 3 Si 2.52
Mn (0.0000, 0.0000, 0.1930) (multiplicity 3)  1 Mn 2.32, 3 Si 2.35, 3 Os 2.46
Si (0.0000, 0.0000, 0.5765) (multiplicity 3)  6 Mn 2.35-2.52, 1 Os 2.46
Os (0.0000, 0.0000, 0.7814) (multiplicity 3)  7 Mn 2.46-2.66, 4 Si 2.46-2.75

=====

| no. | mass density (g/cm³) | formation energy (no corrections) (meV/atom) | volume (Å³ per cell) |
| --- | --- | --- | --- |
| 1 | 11.6 | -170 | 47 |
| 2 | 9.3 | 285 | 108 |
| 3 | 12.7 | 1796 | 86 |
| 4 | 9.8 | -172 | 102 |
| 5 | 13.4 | 1489 | 81 |
| 6 | 11.1 | -195 | 49 |
| 7 | 10.0 | -267 | 50 |
| 8 | 10.0 | -314 | 100 |
| 9 | 10.1 | -93 | 144 |
| 10 | 9.3 | 186 | 214 |
| 11 | 8.7 | 162 | 231 |
| 12 | 7.5 | 534 | 318 |
| 13 | 11.1 | -288 | 196 |
| 14 | 9.3 | -215 | 107 |
| 15 | 14.6 | 828 | 383 |
| 16 | 10.8 | -127 | 101 |
| 17 | 10.0 | -231 | 50 |
| 18 | 9.5 | 23 | 105 |
| 19 | 11.0 | -140 | 99 |
| 20 | 10.1 | -55 | 162 |